# FeHgSe2O8 (PBE with a Hubbard U, optimized geometry)
# E_tot in eV per cell: -181.81
# Magnetization in μB per cell: 14.129
# ρ in g/cm³: 4.9
data_FeHgSe2O8
_chemical_formula_sum 'Fe3 Hg3 Se6 O24'
_symmetry_space_group_name_H-M 'R -3'
_symmetry_Int_Tables_number 148
_symmetry_space_group_name_Hall '-R 3'
_cell_length_a 5.0152
_cell_length_b 5.0152
_cell_length_c 25.0737
_cell_angle_alpha 90.00
_cell_angle_beta 90.00
_cell_angle_gamma 120.00
loop_
_atom_site_label
_atom_site_fract_x
_atom_site_fract_y
_atom_site_fract_z
Fe1 0.0000 0.0000 0.0000
Hg1 0.0000 0.0000 0.5000
Se1 0.0000 0.0000 0.2630
O1 0.0000 0.0000 0.1965
O2 0.0035 0.3638 0.3818